No. 1
TlSbPb, single point on PBEsol structure, DFT meta-GGA SCAN; energy relative to the elements, uncorrected = 0.0020 eV per atom; total magnetization = 0.0 μB/cell; DFT total energy = -61.798 eV per atom
1.0
-0.507 -2.198 -4.731
-1.562 -4.985 -0.420
-4.766 -1.103 -1.880
Tl Sb Pb
1 1 1
Cartesian
0.000 0.000 0.000
-1.709 -2.071 -1.758
-3.417 -4.142 -3.515

=====

No. 2
K4Hg, single point on PBEsol structure, DFT meta-GGA SCAN; total magnetization = 0.0 μB/cell; DFT total energy = -20.373 eV per atom; DFT formation energy = -0.077 eV/atom
1.0
7.146 0.000 0.000
-2.382 6.737 0.000
-2.382 -3.369 5.835
K Hg
4 1
Cartesian
-1.191 3.369 0.000
3.573 0.000 0.000
1.191 1.684 2.917
-1.191 -1.684 2.917
0.000 0.000 0.000

=====

No. 3
SrNbAl3, single point on PBEsol structure, DFT meta-GGA SCAN; total magnetization = 2.8 μB/cell; DFT total energy = -13.695 eV per atom; DFT formation energy = 2.037 eV/atom
1.0
-1.404 -2.907 -4.079
4.341 1.407 -2.497
2.499 -4.078 2.046
Al Nb Sr
3 1 1
Cartesian
1.249 -2.039 1.023
2.170 0.703 -1.249
-0.702 -1.453 -2.039
2.718 -2.789 -2.265
0.000 0.000 0.000